Record 1
Computed, not measured: a relaxed structure of PaMoP2 at the PBE-GGA level of DFT.

Its density of states at the Fermi level is 5.1 states/eV per cell. As for the volume: 16.61 Å³/atom.

The structure belongs to space group P4/mmm (No. 123); the cell edges are 3.1857, 3.1857 and 6.5459 Å and the angles 90.00°, 90.00° and 90.00°. Symmetry generates all atoms from Pa at (0.0000, 0.0000, 0.0000), Mo at (0.0000, 0.0000, 0.5000) and P at (0.5000, 0.5000, 0.2866).

=====

Record 2
Computed, not measured: a relaxed structure of PaMoP2 at the PBE-GGA level of DFT.

Its density of states at the Fermi level is 9.0 states/eV per cell. As for the volume: 17.78 Å³/atom.

The structure belongs to space group Cm (No. 8); the cell edges are 12.9229, 3.4004 and 3.2616 Å and the angles 90.00°, 97.09° and 90.00°. Symmetry generates all atoms from Pa at (0.0000, 0.0000, 0.0000), Mo at (0.2570, 0.5000, 0.1257), P at (0.1144, 0.5000, 0.5577) and P at (0.3351, 0.0000, 0.6480).

=====

Number 1: DFT formation energy -2.003 eV per formula unit. Number 2: DFT formation energy -2.732 eV per formula unit.